Below is a relaxed structure of Pr3SmIr3, with properties calculated at the PBE level.

The space group is C2/m (No. 12) and the conventional cell measures 11.122, 9.567 and 7.097 Å, with angles of 90.00, 103.58 and 90.00 degrees. Symmetry generates all atoms from Pr at (0.000, 0.191, 0.000), Pr at (0.000, 0.276, 0.500), Pr at (0.202, 0.500, 0.996), Sm at (0.216, 0.000, 0.459), Ir at (0.052, 0.000, 0.713) and Ir at (0.240, 0.251, 0.758).

The value obtained for the volume is 26.21 Å³/atom. The total magnetization comes out at 0.00 μB/f.u. Its energy of formation is -0.496 eV/atom.